# AlInRh2

A relaxed AlInRh2 crystal (GGA-PBE, the Alexandria database).

Lattice parameters (Å, degrees): 3.0154 3.0154 6.7100 90.00 90.00 90.00
Closest atoms and distances in Å follow each position.
Element x y z (fractional)
Al1 0.0000 0.0000 0.0000  8 Rh 2.60
In1 0.0000 0.0000 0.5000  8 Rh 2.83, 4 In 3.02
Rh1 0.5000 0.5000 0.2224  4 Al 2.60, 4 In 2.83
Rh2 0.5000 0.5000 0.7776  4 Al 2.60, 4 In 2.83

Results
ΔE_f ... -2.96 eV/f.u.